## Pm2Cu5Ni2Rh (PBE)

Data for an optimized crystal structure of Pm2Cu5Ni2Rh.

Values from the calculation:
For the formation energy, the calculation gives -18.2 kJ/mol of atoms.

Cell: 3.937 8.897 8.897 Å, 90.00 90.00 90.00°
Sites, in units of the cell vectors:
Cu (0.500, 0.555, 0.705)
Cu (0.500, 0.295, 0.555)
Cu (0.500, 0.705, 0.445)
Cu (0.500, 0.000, 0.500)
Cu (0.500, 0.055, 0.795)
Cu (0.500, 0.795, 0.945)
Cu (0.500, 0.205, 0.055)
Cu (0.500, 0.445, 0.295)
Cu (0.500, 0.500, 0.000)
Cu (0.500, 0.945, 0.205)
Pm (0.000, 0.313, 0.813)
Pm (0.000, 0.187, 0.313)
Pm (0.000, 0.813, 0.687)
Pm (0.000, 0.687, 0.187)
Ni (0.000, 0.889, 0.389)
Ni (0.000, 0.611, 0.889)
Ni (0.000, 0.389, 0.111)
Ni (0.000, 0.111, 0.611)
Rh (0.000, 0.500, 0.500)
Rh (0.000, 0.000, 0.000)

***

## PmCuNiRh (PBE)

Data for an optimized crystal structure of PmCuNiRh.

Values from the calculation:
For the formation energy, the calculation gives -15.8 kJ/mol of atoms.

Cell: 4.549 4.549 4.549 Å, 60.00 60.00 60.00°
Sites, in units of the cell vectors:
Pm (0.500, 0.500, 0.500)
Cu (0.000, 0.000, 0.000)
Rh (0.750, 0.750, 0.750)
Ni (0.250, 0.250, 0.250)

***

## Pm2CuNi5Rh2 (PBE)

Data for an optimized crystal structure of Pm2CuNi5Rh2.

Values from the calculation:
For the formation energy, the calculation gives -12.5 kJ/mol of atoms.

Cell: 3.671 9.274 9.274 Å, 90.00 90.00 90.00°
Sites, in units of the cell vectors:
Cu (0.000, 0.500, 0.500)
Cu (0.000, 0.000, 0.000)
Ni (0.500, 0.000, 0.500)
Ni (0.500, 0.813, 0.946)
Ni (0.500, 0.054, 0.813)
Ni (0.500, 0.554, 0.687)
Ni (0.500, 0.946, 0.187)
Ni (0.500, 0.500, 0.000)
Ni (0.500, 0.187, 0.054)
Ni (0.500, 0.313, 0.554)
Ni (0.500, 0.687, 0.446)
Ni (0.500, 0.446, 0.313)
Pm (0.000, 0.172, 0.328)
Pm (0.000, 0.828, 0.672)
Pm (0.000, 0.328, 0.828)
Pm (0.000, 0.672, 0.172)
Rh (0.000, 0.130, 0.630)
Rh (0.000, 0.870, 0.370)
Rh (0.000, 0.630, 0.870)
Rh (0.000, 0.370, 0.130)

***

## PmCuSiNi (PBE)

Data for an optimized crystal structure of PmCuSiNi.

Values from the calculation:
Its uncorrected formation energy is -27 kJ/mol of atoms.

Cell: 4.514 4.514 4.514 Å, 60.00 60.00 60.00°
Sites, in units of the cell vectors:
Pm (0.250, 0.250, 0.250)
Si (0.750, 0.750, 0.750)
Ni (0.000, 0.000, 0.000)
Cu (0.500, 0.500, 0.500)